VASP calculation (PBE-GGA) on a relaxed structure of YTm2ScSe6.

- magnetic moment (Bohr magnetons per cell) = 0.00
- raw formation energy (meV per atom) = -1794
- space group = R3 (146)
- crystal system = trigonal
- raw total energy (eV per cell) = -60.59

Cell: 7.0501 7.0501 7.5663 Å, 62.23 62.23 59.99°
With the nearest neighbours (Å) after each atom.
Fractional coordinates of all 10 atoms:
Se1 0.4127 0.7159 0.7569  1 Sc 2.76, 2 Tm 2.80-2.86, 1 Y 2.83
Se2 0.5960 0.2248 0.2488  1 Sc 2.72, 2 Tm 2.82-2.87, 1 Y 2.91
Se3 0.2248 0.9304 0.2488  1 Sc 2.72, 2 Tm 2.82-2.87, 1 Y 2.91
Se4 0.1145 0.4127 0.7569  1 Sc 2.76, 2 Tm 2.80-2.86, 1 Y 2.83
Se5 0.7159 0.1144 0.7569  1 Sc 2.76, 2 Tm 2.80-2.86, 1 Y 2.83
Se6 0.9304 0.5960 0.2488  1 Sc 2.72, 2 Tm 2.82-2.87, 1 Y 2.91
Tm1 0.0121 0.0121 0.9637  6 Se 2.80-2.87
Tm2 0.5147 0.5147 0.4559  6 Se 2.82-2.86
Sc1 0.3220 0.3219 0.0341  6 Se 2.72-2.76
Y1 0.8185 0.8185 0.5443  6 Se 2.83-2.91

---

VASP calculation (PBE-GGA) on a relaxed structure of Ba14NaRh.

- magnetic moment (Bohr magnetons per cell) = 0.00
- ΔH_f (0 K) (eV per atom) = 0.026
- space group = Amm2 (38)
- crystal system = orthorhombic
- raw total energy (eV per cell) = -35.18

Cell: 8.8620 8.8621 12.2275 Å, 90.00 90.00 105.26°
With the nearest neighbours (Å) after each atom.
Fractional coordinates of all 16 atoms:
Rh1 0.7598 0.2402 0.5000  8 Ba 3.21-3.52
Ba1 0.1417 0.4066 0.5000  1 Rh 3.32
Ba2 0.6259 0.9450 0.0000  9 Ba 4.16-4.62
Ba3 0.8998 0.1002 0.7075  1 Rh 3.21
Ba4 0.4433 0.1811 0.3169  1 Rh 3.52
Ba5 0.8189 0.5567 0.6831  1 Rh 3.52
Ba6 0.3418 0.6582 0.2293  8 Ba 4.12-4.61, 1 Na 4.45
Ba7 0.1067 0.8933 0.0000  8 Ba 4.34-4.61
Ba8 0.3418 0.6582 0.7707  8 Ba 4.12-4.61, 1 Na 4.45
Ba9 0.5934 0.8583 0.5000  1 Rh 3.32
Ba10 0.8998 0.1002 0.2925  1 Rh 3.21
Ba11 0.5788 0.4212 0.0000  10 Ba 4.35-4.55
Ba12 0.8189 0.5567 0.3169  1 Rh 3.52
Ba13 0.4433 0.1811 0.6831  1 Rh 3.52
Ba14 0.0550 0.3741 0.0000  9 Ba 4.16-4.62
Na1 0.1311 0.8689 0.5000  10 Ba 4.04-4.45